# 1
## Dy3ErPb5 (PBE)

Data for Dy3ErPb5 after structural relaxation.

* theoretical density: 10942 kg/m3
* ΔE_f: -0.4044 eV/atom

```
data_Dy3ErPb5
_chemical_formula_sum 'Dy6 Er2 Pb10'
_symmetry_space_group_name_H-M 'P 63/m c m'
_symmetry_Int_Tables_number 193
_symmetry_space_group_name_Hall '-P 6c 2'
_cell_length_a 9.5250
_cell_length_b 9.5250
_cell_length_c 6.5314
_cell_angle_alpha 90.00
_cell_angle_beta 90.00
_cell_angle_gamma 120.00
loop_
_atom_site_label
_atom_site_type_symbol
_atom_site_fract_x
_atom_site_fract_y
_atom_site_fract_z
_atom_site_occupancy
Dy1 Dy 0.0000 0.3815 0.2500 1
Er1 Er 0.0000 0.0000 0.0000 1
Pb1 Pb 0.0000 0.2866 0.7500 1
Pb2 Pb 0.3333 0.6667 0.0000 1
```



# 2
## MgInHgI6 (PBE)

Data for MgInHgI6 after structural relaxation.

* theoretical density: 5113 kg/m3
* DFT total energy: -2.074 eV per atom

```
data_MgInHgI6
_chemical_formula_sum 'Mg1 In1 Hg1 I6'
_symmetry_space_group_name_H-M 'P 1'
_symmetry_Int_Tables_number 1
_symmetry_space_group_name_Hall 'P 1'
_cell_length_a 7.288
_cell_length_b 7.522
_cell_length_c 7.529
_cell_angle_alpha 60.05
_cell_angle_beta 89.92
_cell_angle_gamma 89.74
loop_
_atom_site_label
_atom_site_type_symbol
_atom_site_fract_x
_atom_site_fract_y
_atom_site_fract_z
_atom_site_occupancy
Mg1 Mg 0.000 0.000 0.000 1
In1 In 0.000 0.666 0.668 1
Hg1 Hg 0.500 0.333 0.334 1
I1 I 0.232 0.330 0.979 1
I2 I 0.232 0.690 0.332 1
I3 I 0.232 0.977 0.692 1
I4 I 0.768 0.332 0.691 1
I5 I 0.768 0.692 0.979 1
I6 I 0.768 0.979 0.332 1
```